An optimized crystal structure of BaY3Ir. Source: Alexandria, functional PBE.

## Properties
polymorph energy (0 for the lowest one): 0.16 eV/f.u.
formation energy: -31.3 kJ per mole of atoms

Cell: 5.570 5.570 5.570 Å, 90.00 90.00 90.00°
Space group Pm-3m (No. 221)
Symmetry-distinct sites (fractional):
Ba (0.000, 0.000, 0.000) (multiplicity 1)
Y (0.000, 0.500, 0.500) (multiplicity 3)
Ir (0.500, 0.500, 0.500) (multiplicity 1)



An optimized crystal structure of BaY2Ir. Source: Alexandria, functional PBE.

## Properties
polymorph energy (0 for the lowest one): 0.22 eV/f.u.
formation energy: -31.9 kJ per mole of atoms

Cell: 3.572 3.569 9.873 Å, 90.00 90.11 90.00°
Space group P2/m (No. 10)
Symmetry-distinct sites (fractional):
Ba (0.000, 0.000, 0.000) (multiplicity 1)
Y (0.500, 0.500, 0.340) (multiplicity 2)
Ir (0.000, 0.000, 0.500) (multiplicity 1)



An optimized crystal structure of BaYIr. Source: Alexandria, functional PBE.

## Properties
polymorph energy (0 for the lowest one): 0.00 eV/f.u.
formation energy: -27.7 kJ per mole of atoms

Cell: 4.2845 4.2845 6.8082 Å, 90.00 90.00 120.00°
Space group P3m1 (No. 156)
Symmetry-distinct sites (fractional):
Ba (0.0000, 0.0000, 0.0000) (multiplicity 1)
Y (0.3333, 0.6667, 0.4580) (multiplicity 1)
Ir (0.6667, 0.3333, 0.2793) (multiplicity 1)



An optimized crystal structure of BaY2Ir. Source: Alexandria, functional PBE.

## Properties
polymorph energy (0 for the lowest one): 0.72 eV/f.u.
formation energy: -19.8 kJ per mole of atoms

Cell: 3.556 4.739 15.912 Å, 90.00 90.00 90.00°
Space group Imm2 (No. 44)
Symmetry-distinct sites (fractional):
Ba (0.000, 0.000, 0.000) (multiplicity 2)
Y (0.000, 0.000, 0.321) (multiplicity 2)
Y (0.000, 0.500, 0.174) (multiplicity 2)
Ir (0.000, 0.500, 0.685) (multiplicity 2)



An optimized crystal structure of Ba2YIr. Source: Alexandria, functional PBE.

## Properties
polymorph energy (0 for the lowest one): 2.22 eV/f.u.
formation energy: 30.1 kJ per mole of atoms

Cell: 5.556 5.556 7.795 Å, 90.00 90.00 90.00°
Space group I-4m2 (No. 119)
Symmetry-distinct sites (fractional):
Ba (0.000, 0.000, 0.000) (multiplicity 2)
Ba (0.000, 0.500, 0.250) (multiplicity 2)
Y (0.000, 0.500, 0.750) (multiplicity 2)
Ir (0.000, 0.000, 0.500) (multiplicity 2)



An optimized crystal structure of BaY2Ir. Source: Alexandria, functional PBE.

## Properties
polymorph energy (0 for the lowest one): 1.86 eV/f.u.
formation energy: 7.8 kJ per mole of atoms

Cell: 7.469 7.469 7.469 Å, 90.00 90.00 90.00°
Space group Fm-3m (No. 225)
Symmetry-distinct sites (fractional):
Ba (0.000, 0.000, 0.000) (multiplicity 4)
Y (0.250, 0.250, 0.250) (multiplicity 8)
Ir (0.000, 0.000, 0.500) (multiplicity 4)



An optimized crystal structure of BaY3Ir. Source: Alexandria, functional PBE.

## Properties
polymorph energy (0 for the lowest one): 0.56 eV/f.u.
formation energy: -23.5 kJ per mole of atoms

Cell: 9.542 6.946 12.387 Å, 90.00 124.59 90.00°
Space group P2_1/c (No. 14)
Symmetry-distinct sites (fractional):
Ba (0.188, 0.170, 0.077) (multiplicity 4)
Y (0.083, 0.580, 0.830) (multiplicity 4)
Y (0.311, 0.666, 0.207) (multiplicity 4)
Y (0.466, 0.240, 0.945) (multiplicity 4)
Ir (0.232, 0.559, 0.377) (multiplicity 4)



An optimized crystal structure of BaY2Ir. Source: Alexandria, functional PBE.

## Properties
polymorph energy (0 for the lowest one): 0.00 eV/f.u.
formation energy: -37.1 kJ per mole of atoms

Cell: 7.255 4.190 9.867 Å, 90.00 104.11 90.00°
Space group C2/m (No. 12)
Symmetry-distinct sites (fractional):
Ba (0.000, 0.000, 0.000) (multiplicity 2)
Y (0.214, 0.000, 0.643) (multiplicity 4)
Ir (0.000, 0.500, 0.500) (multiplicity 2)